Er3SiBi2 | PBE-GGA | optimized geometry

Cell: 7.4634 7.4635 7.4635 Å, 122.22 90.00 90.00°
Closest atoms and distances in Å follow each position.
Element x y z (fractional)
Si: 0.2196 0.1807 0.1807  6 Er 2.96
Si: 0.7196 0.8193 0.8193  6 Er 2.96
Er: 0.4696 0.5000 0.5000  2 Si 2.96, 4 Bi 3.15
Er: 0.4697 0.8556 0.1445  2 Si 2.96, 4 Bi 3.16-3.19
Er: 0.4697 0.1445 0.8556  2 Si 2.96, 4 Bi 3.16-3.19
Er: 0.9697 0.8555 0.1444  2 Si 2.96, 4 Bi 3.16-3.19
Er: 0.9696 0.5000 0.5000  2 Si 2.96, 4 Bi 3.15
Er: 0.9697 0.1444 0.8555  2 Si 2.96, 4 Bi 3.16-3.19
Bi: 0.2197 0.4748 0.8265  6 Er 3.15-3.19
Bi: 0.7197 0.5252 0.1735  6 Er 3.15-3.19
Bi: 0.7197 0.1735 0.5252  6 Er 3.15-3.19
Bi: 0.2197 0.8265 0.4748  6 Er 3.15-3.19

Output
The calculation puts the electronic total energy at -5.095 eV per atom.